# Nd4TlHg2Rh GGA-PBE optimized geometry
data_Nd4TlHg2Rh
_cell_length_a 5.3831
_cell_length_b 5.3831
_cell_length_c 25.8373
_cell_angle_alpha 90.00
_cell_angle_beta 90.00
_cell_angle_gamma 120.00
_space_group_name_H-M_alt 'R -3 m'
_space_group_IT_number 166
_space_group_name_Hall '-R 3 2"'
loop_
_atom_site_label
_atom_site_fract_x
_atom_site_fract_y
_atom_site_fract_z
Nd1 0.0000 0.0000 0.1127
Nd2 0.0000 0.0000 0.3671
Tl1 0.0000 0.0000 0.5000
Hg1 0.0000 0.0000 0.2399
Rh1 0.0000 0.0000 0.0000
# Total magnetization, μB per formula unit: 0.000
# Energy relative to the elements, meV/atom: -489.8


# HfBi2H GGA-PBE optimized geometry
data_HfBi2H
_cell_length_a 7.176
_cell_length_b 7.176
_cell_length_c 7.176
_cell_angle_alpha 90.00
_cell_angle_beta 90.00
_cell_angle_gamma 90.00
_space_group_name_H-M_alt 'F m -3 m'
_space_group_IT_number 225
_space_group_name_Hall '-F 4 2 3'
loop_
_atom_site_label
_atom_site_fract_x
_atom_site_fract_y
_atom_site_fract_z
Hf1 0.000 0.000 0.000
Bi1 0.250 0.250 0.250
H1 0.000 0.000 0.500
# Energy above the most stable polymorph in this dataset, eV/atom: 0.850
# Total magnetization, μB per formula unit: 0.774


# SmErGaSi GGA-PBE optimized geometry
data_SmErGaSi
_cell_length_a 3.976
_cell_length_b 4.334
_cell_length_c 10.814
_cell_angle_alpha 90.00
_cell_angle_beta 90.00
_cell_angle_gamma 90.00
_space_group_name_H-M_alt 'A m m 2'
_space_group_IT_number 38
loop_
_space_group_symop_operation_xyz
'x,y,z'
'-x,-y,z'
'-x,y,z'
'x,-y,z'
'x,y+1/2,z+1/2'
'-x,-y+1/2,z+1/2'
'-x,y+1/2,z+1/2'
'x,-y+1/2,z+1/2'
loop_
_atom_site_label
_atom_site_fract_x
_atom_site_fract_y
_atom_site_fract_z
Sm1 0.000 0.000 0.000
Er1 0.500 0.000 0.281
Ga1 0.500 0.000 0.569
Si1 0.000 0.000 0.718
# Uncorrected formation energy, eV per atom: -0.73
# Total magnetization, μB per formula unit: 0.000


# ZrHS GGA-PBE optimized geometry
data_ZrHS
_cell_length_a 6.145
_cell_length_b 3.488
_cell_length_c 8.566
_cell_angle_alpha 90.00
_cell_angle_beta 90.00
_cell_angle_gamma 90.00
_space_group_name_H-M_alt 'P n m a'
_space_group_IT_number 62
loop_
_space_group_symop_operation_xyz
'x,y,z'
'-x,-y,-z'
'-x+1/2,-y,z+1/2'
'x+1/2,y,-z+1/2'
'x+1/2,-y+1/2,-z+1/2'
'-x+1/2,y+1/2,z+1/2'
'-x,y+1/2,-z'
'x,-y+1/2,z'
loop_
_atom_site_label
_atom_site_fract_x
_atom_site_fract_y
_atom_site_fract_z
Zr1 0.131 0.250 0.177
H1 0.053 0.750 0.631
S1 0.185 0.250 0.873
# Total magnetization, μB per formula unit: 0.000


no.,E_tot (eV per formula unit)
1,-33.311
2,-18.713
3,-20.647
4,-18.785